## PdBr2F (SCAN)

Data for a PBEsol-optimized structure of PdBr2F.

Summary:
Uncorrected formation energy, eV/atom: 0.13
Symmetry: R-3m (166)

Cell lengths 8.9395, 8.9395, 8.9395 Å; angles 19.39, 19.39, 19.39 degrees
With the nearest neighbours (Å) after each atom.
Fractional positions:
Pd (0.0000, 0.0000, 0.0000)  2 Br 2.38
Br (0.0904, 0.0904, 0.0904)  1 Pd 2.38, 3 F 2.66
Br (0.9096, 0.9096, 0.9096)  1 Pd 2.38, 3 F 2.66
F (0.5000, 0.5000, 0.5000)  6 Br 2.66



## YZr9O20 (SCAN)

Data for a PBEsol-optimized structure of YZr9O20.

Summary:
Uncorrected formation energy, eV/atom: -3.68
Symmetry: P1 (1)

Cell lengths 6.3060, 7.2599, 8.0845 Å; angles 77.17, 75.17, 72.77 degrees
With the nearest neighbours (Å) after each atom.
Fractional positions:
Y (0.0000, 0.0000, 0.0000)  8 O 2.21-2.43
Zr (0.1970, 0.3006, 0.6015)  5 O 2.08-2.29
Zr (0.2005, 0.7983, 0.6021)  4 O 2.06-2.09
Zr (0.3946, 0.5983, 0.2017)  4 O 2.06-2.10
Zr (0.4009, 0.0961, 0.2001)  6 O 2.10-2.29
Zr (0.6000, 0.3982, 0.8007)  5 O 2.06-2.30
Zr (0.6007, 0.8973, 0.8027)  6 O 2.08-2.33
Zr (0.7960, 0.7009, 0.4004)  4 O 2.07-2.08
Zr (0.7988, 0.1995, 0.3991)  4 O 2.06-2.09
Zr (0.9989, 0.4996, 0.9964)  6 O 2.09-2.29
O (0.0220, 0.6736, 0.1641)  2 Zr 2.08-2.10
O (0.0757, 0.2227, 0.1458)  3 Zr 2.09-2.34
O (0.1171, 0.0772, 0.4611)  2 Zr 2.08
O (0.1755, 0.6190, 0.4443)  2 Zr 2.08-2.10
O (0.2307, 0.4762, 0.7599)  3 Zr 2.08-2.32
O (0.2828, 0.0161, 0.7351)  3 Zr 2.09-2.34
O (0.3392, 0.8775, 0.0640)  2 Zr 2.06-2.29, 1 Y 2.21
O (0.3776, 0.4191, 0.0396)  2 Zr 2.08
O (0.4097, 0.2843, 0.3594)  2 Zr 2.08-2.10
O (0.4735, 0.8166, 0.3471)  2 Zr 2.07-2.10
O (0.5232, 0.6791, 0.6609)  2 Zr 2.08-2.09
O (0.5793, 0.2194, 0.6378)  2 Zr 2.07-2.09
O (0.6163, 0.0887, 0.9548)  3 Zr 2.09-2.30
O (0.6732, 0.6163, 0.9433)  2 Zr 2.08-2.09
O (0.7144, 0.4805, 0.2597)  2 Zr 2.07-2.09
O (0.7591, 0.0191, 0.2517)  2 Zr 2.06-2.29, 1 Y 2.21
O (0.8184, 0.8800, 0.5600)  2 Zr 2.08-2.09
O (0.8799, 0.4181, 0.5341)  2 Zr 2.08-2.09
O (0.9236, 0.2975, 0.8493)  3 Zr 2.06-2.29, 1 Y 2.21
O (0.9730, 0.8046, 0.8358)  2 Zr 2.06-2.29, 1 Y 2.21



## TcAg2Ir (SCAN)

Data for a PBEsol-optimized structure of TcAg2Ir.

Summary:
ΔE_f, eV/atom: 0.446
Symmetry: P2/m (10)

Cell lengths 4.6709, 2.7371, 4.9706 Å; angles 90.00, 108.54, 90.00 degrees
With the nearest neighbours (Å) after each atom.
Fractional positions:
Tc (0.0000, 0.0000, 0.0000)  4 Ir 2.71, 2 Tc 2.74, 6 Ag 2.82-2.84
Ag (0.0000, 0.5000, 0.5000)  6 Ag 2.71-2.74, 2 Ir 2.82, 4 Tc 2.84
Ag (0.5000, 0.0000, 0.5000)  6 Ag 2.71-2.74, 2 Tc 2.82, 4 Ir 2.84
Ir (0.5000, 0.5000, 0.0000)  4 Tc 2.71, 2 Ir 2.74, 6 Ag 2.82-2.84



## K3B12H12I (SCAN)

Data for a PBEsol-optimized structure of K3B12H12I.

Summary:
Symmetry: R-3m (166)
Raw total energy, eV/atom: -7.378

Cell lengths 6.8545, 6.8545, 6.8545 Å; angles 93.93, 93.93, 93.93 degrees
With the nearest neighbours (Å) after each atom.
Fractional positions:
K (0.0000, 0.5000, 0.5000)  10 H 2.87-3.12
K (0.5000, 0.0000, 0.5000)  10 H 2.87-3.12
K (0.5000, 0.5000, 0.0000)  10 H 2.87-3.12
B (0.0627, 0.0627, 0.2392)  1 H 1.21
B (0.0627, 0.2393, 0.0627)  1 H 1.21
B (0.1243, 0.1243, 0.8381)  1 H 1.21
B (0.1243, 0.8381, 0.1243)  1 H 1.21
B (0.1619, 0.8757, 0.8757)  1 H 1.21
B (0.2392, 0.0627, 0.0627)  1 H 1.21
B (0.7607, 0.9373, 0.9373)  1 H 1.21
B (0.8381, 0.1243, 0.1243)  1 H 1.21
B (0.8757, 0.1619, 0.8757)  1 H 1.21
B (0.8757, 0.8757, 0.1619)  1 H 1.21
B (0.9373, 0.7608, 0.9373)  1 H 1.21
B (0.9373, 0.9373, 0.7608)  1 H 1.21
H (0.1074, 0.1074, 0.4108)  1 B 1.21
H (0.1074, 0.4108, 0.1074)  1 B 1.21
H (0.2148, 0.2148, 0.7232)  1 B 1.21
H (0.2148, 0.7232, 0.2148)  1 B 1.21
H (0.2768, 0.7852, 0.7852)  1 B 1.21
H (0.4108, 0.1074, 0.1074)  1 B 1.21
H (0.5892, 0.8926, 0.8926)  1 B 1.21
H (0.7232, 0.2148, 0.2148)  1 B 1.21
H (0.7852, 0.2768, 0.7852)  1 B 1.21
H (0.7852, 0.7852, 0.2768)  1 B 1.21
H (0.8926, 0.5892, 0.8926)  1 B 1.21
H (0.8926, 0.8926, 0.5892)  1 B 1.21
I (0.5000, 0.5000, 0.5000)  6 H 3.21, 6 K 3.43



## BeBIr2 (SCAN)

Data for a PBEsol-optimized structure of BeBIr2.

Summary:
ΔE_f, eV/atom: -0.402
Symmetry: Fm-3m (225)

Cell lengths 3.8759, 3.8759, 3.8759 Å; angles 60.00, 60.00, 60.00 degrees
With the nearest neighbours (Å) after each atom.
Fractional positions:
Be (0.0000, 0.0000, 0.0000)  8 Ir 2.37
B (0.5000, 0.5000, 0.5000)  8 Ir 2.37
Ir (0.2500, 0.2500, 0.2500)  4 Be 2.37, 4 B 2.37
Ir (0.7500, 0.7500, 0.7500)  4 Be 2.37, 4 B 2.37



## Mn2NbFeO6 (SCAN)

Data for a PBEsol-optimized structure of Mn2NbFeO6.

Summary:
Uncorrected formation energy, eV/atom: -2.05
Symmetry: R3 (146)

Cell lengths 5.6930, 5.6930, 5.6930 Å; angles 55.01, 55.01, 55.01 degrees
With the nearest neighbours (Å) after each atom.
Fractional positions:
Mn (0.0000, 0.0000, 0.0000)  6 O 1.90-1.95
Mn (0.1934, 0.1934, 0.1934)  6 O 2.05-2.28
Nb (0.8074, 0.8074, 0.8074)  3 O 1.93
Fe (0.6262, 0.6262, 0.6262)  3 O 1.98
O (0.0261, 0.8134, 0.3918)  1 Mn 1.90, 1 Nb 1.93
O (0.2038, 0.6281, 0.9116)  2 Mn 1.95-2.05, 1 Fe 1.98, 1 Nb 2.16
O (0.3918, 0.0261, 0.8134)  1 Mn 1.90, 1 Nb 1.93
O (0.6281, 0.9116, 0.2038)  2 Mn 1.95-2.05, 1 Fe 1.98, 1 Nb 2.16
O (0.8134, 0.3918, 0.0261)  1 Mn 1.90, 1 Nb 1.93
O (0.9116, 0.2038, 0.6281)  2 Mn 1.95-2.05, 1 Fe 1.98, 1 Nb 2.16



## Ta2MoW (SCAN)

Data for a PBEsol-optimized structure of Ta2MoW.

Summary:
ΔE_f, eV/atom: -0.097
Symmetry: C2/m (12)

Cell lengths 5.2807, 5.2807, 2.7831 Å; angles 100.48, 100.48, 116.01 degrees
With the nearest neighbours (Å) after each atom.
Fractional positions:
Ta (0.0000, 0.5000, 0.0000)  2 Mo 2.75, 2 W 2.75, 4 Ta 2.78-2.80
Ta (0.5000, 0.0000, 0.0000)  2 W 2.75, 2 Mo 2.75, 4 Ta 2.78-2.80
Mo (0.0000, 0.0000, 0.5000)  4 Ta 2.75, 2 Mo 2.78, 2 W 2.80
W (0.5000, 0.5000, 0.5000)  4 Ta 2.75, 2 W 2.78, 2 Mo 2.80



## TlSbAu (SCAN)

Data for a PBEsol-optimized structure of TlSbAu.

Summary:
Uncorrected formation energy, eV/atom: -0.18
Symmetry: Pna2_1 (33)

Cell lengths 6.5653, 14.3406, 6.5494 Å; angles 90.00, 90.00, 90.00 degrees
With the nearest neighbours (Å) after each atom.
Fractional positions:
Tl (0.0811, 0.2033, 0.0000)  3 Au 2.89-2.95, 1 Tl 3.15
Tl (0.1260, 0.9654, 0.2725)  3 Au 2.87-2.99, 1 Tl 3.15
Tl (0.3740, 0.4654, 0.7725)  3 Au 2.87-2.99, 1 Tl 3.15
Tl (0.4189, 0.7033, 0.5000)  3 Au 2.89-2.95, 1 Tl 3.15
Tl (0.5811, 0.2967, 0.0000)  3 Au 2.89-2.95, 1 Tl 3.15
Tl (0.6260, 0.5346, 0.2725)  3 Au 2.87-2.99, 1 Tl 3.15
Tl (0.8740, 0.0346, 0.7725)  3 Au 2.87-2.99, 1 Tl 3.15
Tl (0.9189, 0.7967, 0.5000)  3 Au 2.89-2.95, 1 Tl 3.15
Sb (0.1071, 0.4292, 0.2643)  3 Au 2.71-2.75, 1 Sb 2.87
Sb (0.1520, 0.6820, 0.0200)  3 Au 2.70-2.75, 1 Sb 2.87
Sb (0.3480, 0.1820, 0.5200)  3 Au 2.70-2.75, 1 Sb 2.87
Sb (0.3929, 0.9292, 0.7643)  3 Au 2.71-2.75, 1 Sb 2.87
Sb (0.6071, 0.0708, 0.2643)  3 Au 2.71-2.75, 1 Sb 2.87
Sb (0.6520, 0.8180, 0.0200)  3 Au 2.70-2.75, 1 Sb 2.87
Sb (0.8480, 0.3180, 0.5200)  3 Au 2.70-2.75, 1 Sb 2.87
Sb (0.8929, 0.5708, 0.7643)  3 Au 2.71-2.75, 1 Sb 2.87
Au (0.0357, 0.6098, 0.3853)  3 Sb 2.71-2.75, 3 Tl 2.89-2.99
Au (0.0369, 0.8593, 0.9082)  3 Sb 2.70-2.75, 3 Tl 2.87-2.92
Au (0.4631, 0.3593, 0.4082)  3 Sb 2.70-2.75, 3 Tl 2.87-2.92
Au (0.4643, 0.1098, 0.8853)  3 Sb 2.71-2.75, 3 Tl 2.89-2.99
Au (0.5357, 0.8902, 0.3853)  3 Sb 2.71-2.75, 3 Tl 2.89-2.99
Au (0.5369, 0.6407, 0.9082)  3 Sb 2.70-2.75, 3 Tl 2.87-2.92
Au (0.9631, 0.1407, 0.4082)  3 Sb 2.70-2.75, 3 Tl 2.87-2.92
Au (0.9643, 0.3902, 0.8853)  3 Sb 2.71-2.75, 3 Tl 2.89-2.99



## ScMo2Br (SCAN)

Data for a PBEsol-optimized structure of ScMo2Br.

Summary:
Uncorrected formation energy, eV/atom: 0.38
Symmetry: C2/m (12)

Cell lengths 5.7955, 5.7955, 3.1456 Å; angles 105.57, 105.57, 125.49 degrees
With the nearest neighbours (Å) after each atom.
Fractional positions:
Sc (0.0000, 0.0000, 0.0000)  4 Br 2.65-2.67, 4 Mo 2.90
Mo (0.0000, 0.5000, 0.5000)  4 Mo 2.65-2.67, 2 Br 2.90, 2 Sc 2.90
Mo (0.5000, 0.0000, 0.5000)  4 Mo 2.65-2.67, 2 Br 2.90, 2 Sc 2.90
Br (0.5000, 0.5000, 0.0000)  4 Sc 2.65-2.67, 4 Mo 2.90



## SnAs2H (SCAN)

Data for a PBEsol-optimized structure of SnAs2H.

Summary:
Symmetry: Fm-3m (225)
Raw total energy, eV/atom: -19.189

Cell lengths 4.6201, 4.6201, 4.6201 Å; angles 60.00, 60.00, 60.00 degrees
With the nearest neighbours (Å) after each atom.
Fractional positions:
Sn (0.0000, 0.0000, 0.0000)  8 As 2.83
As (0.2500, 0.2500, 0.2500)  4 H 2.83, 4 Sn 2.83
As (0.7500, 0.7500, 0.7500)  4 H 2.83, 4 Sn 2.83
H (0.5000, 0.5000, 0.5000)  8 As 2.83